A plane-wave DFT calculation with GGA-PBE was carried out for a relaxed structure of VIn3C.

Cell lengths 5.326, 5.326, 5.326 Å; angles 90.00, 90.00, 90.00 degrees
Positions (direct):
V (0.000, 0.000, 0.000)
In (0.000, 0.000, 0.500)
In (0.000, 0.500, 0.000)
In (0.500, 0.000, 0.000)
C (0.500, 0.500, 0.500)

Mass density = 4.477 Mg/m³
VASP energy = -18.04 eV per cell
Formation energy from the elements = 1.70 eV per atom
Total moment = 1.8 μB/f.u.
Energy relative to the lowest polymorph listed for this composition = 590 meV per atom

---

A plane-wave DFT calculation with GGA-PBE was carried out for a relaxed structure of MnZn2Re.

Cell lengths 2.641, 4.163, 5.101 Å; angles 90.00, 99.92, 90.00 degrees
Positions (direct):
Mn (0.000, 0.000, 0.000)
Zn (0.295, 0.500, 0.740)
Zn (0.427, 0.000, 0.493)
Re (0.789, 0.500, 0.227)

Mass density = 11.181 Mg/m³
VASP energy = -23.55 eV per cell
Formation energy from the elements = 0.15 eV per atom
Total moment = 1.8 μB/f.u.
Energy relative to the lowest polymorph listed for this composition = 99 meV per atom